Arrangement P

Material: Co2Sb2Pd
Method: DFT, GGA-PBE
State: relaxed

```
data_Co2Sb2Pd
_symmetry_space_group_name_H-M 'P 4/m b m'
_symmetry_Int_Tables_number 127
_symmetry_space_group_name_Hall '-P 4 2ab'
_cell_length_a 7.055
_cell_length_b 7.055
_cell_length_c 3.184
_cell_angle_alpha 90.00
_cell_angle_beta 90.00
_cell_angle_gamma 90.00
loop_
_atom_site_label
_atom_site_fract_x
_atom_site_fract_y
_atom_site_fract_z
Co1 0.129 0.371 0.000
Sb1 0.168 0.668 0.500
Pd1 0.000 0.000 0.000
```

Arrangement Q

Material: Co2Sb2Pd
Method: DFT, GGA-PBE
State: relaxed

```
data_Co2Sb2Pd
_symmetry_space_group_name_H-M 'P 4/m b m'
_symmetry_Int_Tables_number 127
_symmetry_space_group_name_Hall '-P 4 2ab'
_cell_length_a 7.222
_cell_length_b 7.222
_cell_length_c 3.097
_cell_angle_alpha 90.00
_cell_angle_beta 90.00
_cell_angle_gamma 90.00
loop_
_atom_site_label
_atom_site_fract_x
_atom_site_fract_y
_atom_site_fract_z
Co1 0.133 0.367 0.000
Sb1 0.159 0.659 0.500
Pd1 0.000 0.000 0.500
```

Most stable to least stable, the ends of the list are arrangement P and arrangement Q.

Arrangement P

Material: CoSb2Pd
Method: DFT, GGA-PBE
State: relaxed

```
data_CoSb2Pd
_symmetry_space_group_name_H-M 'I -4 2 d'
_symmetry_Int_Tables_number 122
_symmetry_space_group_name_Hall 'I -4 2bw'
_cell_length_a 5.867
_cell_length_b 5.867
_cell_length_c 11.510
_cell_angle_alpha 90.00
_cell_angle_beta 90.00
_cell_angle_gamma 90.00
loop_
_atom_site_label
_atom_site_fract_x
_atom_site_fract_y
_atom_site_fract_z
Co1 0.000 0.000 0.000
Sb1 0.220 0.250 0.125
Pd1 0.000 0.000 0.500
```

Arrangement Q

Material: CoSb2Pd
Method: DFT, GGA-PBE
State: relaxed

```
data_CoSb2Pd
_symmetry_space_group_name_H-M 'F m -3 m'
_symmetry_Int_Tables_number 225
_symmetry_space_group_name_Hall '-F 4 2 3'
_cell_length_a 6.638
_cell_length_b 6.638
_cell_length_c 6.638
_cell_angle_alpha 90.00
_cell_angle_beta 90.00
_cell_angle_gamma 90.00
loop_
_atom_site_label
_atom_site_fract_x
_atom_site_fract_y
_atom_site_fract_z
Co1 0.000 0.000 0.000
Sb1 0.250 0.250 0.250
Pd1 0.000 0.000 0.500
```

Arrangement R

Material: CoSb2Pd
Method: DFT, GGA-PBE
State: relaxed

```
data_CoSb2Pd
_symmetry_space_group_name_H-M 'R -3 m'
_symmetry_Int_Tables_number 166
_symmetry_space_group_name_Hall '-R 3 2"'
_cell_length_a 3.3138
_cell_length_b 3.3138
_cell_length_c 26.7971
_cell_angle_alpha 90.00
_cell_angle_beta 90.00
_cell_angle_gamma 120.00
loop_
_atom_site_label
_atom_site_fract_x
_atom_site_fract_y
_atom_site_fract_z
Co1 0.0000 0.0000 0.0000
Sb1 0.0000 0.0000 0.0912
Pd1 0.0000 0.0000 0.5000
```

Most stable to least stable, the ends of the list are arrangement Q and arrangement R.

Arrangement P

Material: Sc8CoPd2
Method: DFT, GGA-PBE
State: relaxed

```
data_Sc8CoPd2
_symmetry_space_group_name_H-M 'C 1 m 1'
_symmetry_Int_Tables_number 8
_cell_length_a 6.946
_cell_length_b 14.638
_cell_length_c 5.382
_cell_angle_alpha 90.00
_cell_angle_beta 122.68
_cell_angle_gamma 90.00
loop_
_symmetry_equiv_pos_as_xyz
'x,y,z'
'x,-y,z'
'x+1/2,y+1/2,z'
'x+1/2,-y+1/2,z'
loop_
_atom_site_label
_atom_site_fract_x
_atom_site_fract_y
_atom_site_fract_z
Sc1 0.000 0.000 0.000
Sc2 0.004 0.122 0.530
Sc3 0.240 0.306 0.862
Sc4 0.463 0.000 0.649
Sc5 0.480 0.119 0.173
Co1 0.248 0.500 0.174
Pd1 0.246 0.208 0.363
```

Arrangement Q

Material: Sc8CoPd2
Method: DFT, GGA-PBE
State: relaxed

```
data_Sc8CoPd2
_symmetry_space_group_name_H-M 'C 1 2/m 1'
_symmetry_Int_Tables_number 12
_cell_length_a 15.784
_cell_length_b 4.762
_cell_length_c 6.334
_cell_angle_alpha 90.00
_cell_angle_beta 109.35
_cell_angle_gamma 90.00
loop_
_symmetry_equiv_pos_as_xyz
'x,y,z'
'-x,-y,-z'
'-x,y,-z'
'x,-y,z'
'x+1/2,y+1/2,z'
'-x+1/2,-y+1/2,-z'
'-x+1/2,y+1/2,-z'
'x+1/2,-y+1/2,z'
loop_
_atom_site_label
_atom_site_fract_x
_atom_site_fract_y
_atom_site_fract_z
Sc1 0.027 0.000 0.293
Sc2 0.094 0.500 0.933
Sc3 0.161 0.500 0.461
Sc4 0.198 0.000 0.795
Co1 0.000 0.500 0.500
Pd1 0.182 0.000 0.196
```

Most stable to least stable, the ends of the list are arrangement Q and arrangement P.

Arrangement P

Material: CoPdSe2
Method: DFT, GGA-PBE
State: relaxed

```
data_CoPdSe2
_symmetry_space_group_name_H-M 'I -4 2 d'
_symmetry_Int_Tables_number 122
_symmetry_space_group_name_Hall 'I -4 2bw'
_cell_length_a 5.531
_cell_length_b 5.531
_cell_length_c 10.758
_cell_angle_alpha 90.00
_cell_angle_beta 90.00
_cell_angle_gamma 90.00
loop_
_atom_site_label
_atom_site_fract_x
_atom_site_fract_y
_atom_site_fract_z
Co1 0.000 0.000 0.000
Pd1 0.000 0.000 0.500
Se1 0.214 0.250 0.125
```

Arrangement Q

Material: CoPdSe2
Method: DFT, GGA-PBE
State: relaxed

```
data_CoPdSe2
_symmetry_space_group_name_H-M 'F m -3 m'
_symmetry_Int_Tables_number 225
_symmetry_space_group_name_Hall '-F 4 2 3'
_cell_length_a 6.314
_cell_length_b 6.314
_cell_length_c 6.314
_cell_angle_alpha 90.00
_cell_angle_beta 90.00
_cell_angle_gamma 90.00
loop_
_atom_site_label
_atom_site_fract_x
_atom_site_fract_y
_atom_site_fract_z
Co1 0.000 0.000 0.000
Pd1 0.000 0.000 0.500
Se1 0.250 0.250 0.250
```

Most stable to least stable, the ends of the list are arrangement P and arrangement Q.

Arrangement P

Material: CoPd3Se
Method: DFT, GGA-PBE
State: relaxed

```
data_CoPd3Se
_symmetry_space_group_name_H-M 'P m -3 m'
_symmetry_Int_Tables_number 221
_symmetry_space_group_name_Hall '-P 4 2 3'
_cell_length_a 4.587
_cell_length_b 4.587
_cell_length_c 4.587
_cell_angle_alpha 90.00
_cell_angle_beta 90.00
_cell_angle_gamma 90.00
loop_
_atom_site_label
_atom_site_fract_x
_atom_site_fract_y
_atom_site_fract_z
Co1 0.000 0.000 0.000
Pd1 0.000 0.000 0.500
Se1 0.500 0.500 0.500
```

Arrangement Q

Material: CoPd3Se
Method: DFT, GGA-PBE
State: relaxed

```
data_CoPd3Se
_symmetry_space_group_name_H-M 'P m -3 m'
_symmetry_Int_Tables_number 221
_symmetry_space_group_name_Hall '-P 4 2 3'
_cell_length_a 4.646
_cell_length_b 4.646
_cell_length_c 4.646
_cell_angle_alpha 90.00
_cell_angle_beta 90.00
_cell_angle_gamma 90.00
loop_
_atom_site_label
_atom_site_fract_x
_atom_site_fract_y
_atom_site_fract_z
Co1 0.000 0.000 0.000
Pd1 0.000 0.500 0.500
Se1 0.500 0.500 0.500
```

Most stable to least stable, the ends of the list are arrangement Q and arrangement P.

Arrangement P

Material: SmThCoPd
Method: DFT, GGA-PBE
State: relaxed

```
data_SmThCoPd
_symmetry_space_group_name_H-M 'A m m 2'
_symmetry_Int_Tables_number 38
_cell_length_a 4.028
_cell_length_b 3.849
_cell_length_c 11.590
_cell_angle_alpha 90.00
_cell_angle_beta 90.00
_cell_angle_gamma 90.00
loop_
_symmetry_equiv_pos_as_xyz
'x,y,z'
'-x,-y,z'
'-x,y,z'
'x,-y,z'
'x,y+1/2,z+1/2'
'-x,-y+1/2,z+1/2'
'-x,y+1/2,z+1/2'
'x,-y+1/2,z+1/2'
loop_
_atom_site_label
_atom_site_fract_x
_atom_site_fract_y
_atom_site_fract_z
Sm1 0.000 0.000 0.000
Th1 0.500 0.000 0.279
Co1 0.000 0.000 0.749
Pd1 0.500 0.000 0.570
```

Arrangement Q

Material: SmThCoPd
Method: DFT, GGA-PBE
State: relaxed

```
data_SmThCoPd
_symmetry_space_group_name_H-M 'F -4 3 m'
_symmetry_Int_Tables_number 216
_symmetry_space_group_name_Hall 'F -4 2 3'
_cell_length_a 7.071
_cell_length_b 7.071
_cell_length_c 7.071
_cell_angle_alpha 90.00
_cell_angle_beta 90.00
_cell_angle_gamma 90.00
loop_
_atom_site_label
_atom_site_fract_x
_atom_site_fract_y
_atom_site_fract_z
Sm1 0.000 0.000 0.000
Th1 0.000 0.000 0.500
Co1 0.250 0.250 0.250
Pd1 0.250 0.250 0.750
```

Most stable to least stable, the ends of the list are arrangement P and arrangement Q.